Here is a geometry-optimized BaMg2Si structure from Alexandria. Energies are from GGA-PBE.

The structure belongs to space group Pmm2 (No. 25); the cell edges are 3.4583, 4.0395 and 7.8098 Å and the angles 90.00°, 90.00° and 90.00°. The asymmetric unit holds Ba at (0.0000, 0.0000, 0.0000), Mg at (0.0000, 0.0000, 0.5617), Mg at (0.5000, 0.5000, 0.3479) and Si at (0.5000, 0.5000, 0.7108).

For the calculated density, the calculation gives 3.26 g/cm3. The calculation puts the energy above the most stable polymorph in this dataset at 193 meV per atom. The value obtained for the raw formation energy is -0.04 eV/atom.